# 1
Below is crystalline CdSeN2O at its relaxed geometry, with properties calculated at the PBE level.

The structure belongs to space group P4/mmm (No. 123); the cell edges are 3.863, 3.863 and 3.961 Å and the angles 90.00°, 90.00° and 90.00°. The asymmetric unit holds Cd at (0.000, 0.000, 0.000), Se at (0.500, 0.500, 0.500), N at (0.000, 0.500, 0.500) and O at (0.500, 0.500, 0.000).

For the uncorrected formation energy, the calculation gives 1.069 eV/atom.


# 2
Below is crystalline La3CrC at its relaxed geometry, with properties calculated at the PBE level.

The structure belongs to space group Pm-3m (No. 221); the cell edges are 5.221, 5.221 and 5.221 Å and the angles 90.00°, 90.00° and 90.00°. The asymmetric unit holds La at (0.000, 0.000, 0.500), Cr at (0.500, 0.500, 0.500) and C at (0.000, 0.000, 0.000).

The value obtained for the energy relative to the elements is 0.27 eV per atom.